A plane-wave DFT calculation with PBE was carried out for a relaxed structure of MgZrH.

Cell lengths 3.338, 4.532, 6.351 Å; angles 89.75, 105.27, 89.99 degrees
Atoms (fractional coordinates):
1 H 0.209 0.746 0.418
2 H 0.791 0.254 0.582
3 Mg 0.438 0.251 0.877
4 Mg 0.562 0.749 0.123
5 Zr 0.816 0.753 0.632
6 Zr 0.184 0.247 0.368

Summary:
E_tot in eV/atom: -4.685
ΔE to the lowest computed polymorph in meV per atom: 0
Calculated volume in A^3/atom: 15.4